DFT (PBE with a Hubbard U) results for MgCoF5 after structural relaxation.

Cell: 5.249 5.249 7.381 Å, 110.85 110.85 72.08°
Positions (direct):
Mg  0.030  0.970  0.750
Mg  0.970  0.030  0.250
Co  0.500  0.500  0.000
Co  0.500  0.500  0.500
F  0.173  0.787  0.045
F  0.213  0.827  0.455
F  0.228  0.292  0.370
F  0.292  0.228  0.870
F  0.374  0.626  0.750
F  0.626  0.374  0.250
F  0.708  0.772  0.130
F  0.772  0.708  0.630
F  0.787  0.173  0.545
F  0.827  0.213  0.955

E_tot, eV per atom: -4.89
Volume, A^3/atom: 12.41